Material: CeSm3Pu2As6
Method: DFT, GGA-PBE
State: relaxed

Structure (CIF):
```
data_CeSm3Pu2As6
_space_group_name_H-M_alt 'P 1'
_space_group_IT_number 1
_space_group_name_Hall 'P 1'
_cell_length_a 7.257
_cell_length_b 7.257
_cell_length_c 7.253
_cell_angle_alpha 99.60
_cell_angle_beta 99.60
_cell_angle_gamma 120.00
loop_
_atom_site_label
_atom_site_fract_x
_atom_site_fract_y
_atom_site_fract_z
Sm1 0.500 0.500 0.500
Sm2 0.166 0.834 0.500
Sm3 0.834 0.166 0.500
As1 0.254 0.254 0.756
As2 0.583 0.919 0.756
As3 0.081 0.417 0.244
As4 0.746 0.746 0.244
As5 0.919 0.583 0.756
As6 0.417 0.081 0.244
Pu1 0.333 0.667 0.000
Pu2 0.667 0.333 0.000
Ce1 0.000 0.000 0.000
```

Output
The symmetry is No. 12. The value obtained for the calculated formation energy is -1.34 eV/atom.

Material: TlC3
Method: DFT, GGA-PBE
State: relaxed

Structure (CIF):
```
data_TlC3
_space_group_name_H-M_alt 'P 1'
_space_group_IT_number 1
_space_group_name_Hall 'P 1'
_cell_length_a 7.268
_cell_length_b 7.268
_cell_length_c 2.654
_cell_angle_alpha 90.00
_cell_angle_beta 90.00
_cell_angle_gamma 123.18
loop_
_atom_site_label
_atom_site_fract_x
_atom_site_fract_y
_atom_site_fract_z
C1 0.010 0.784 0.750
C2 0.837 0.163 0.750
C3 0.163 0.837 0.250
C4 0.990 0.216 0.250
C5 0.216 0.990 0.750
C6 0.784 0.010 0.250
Tl1 0.375 0.625 0.750
Tl2 0.625 0.375 0.250
```

Output
The value obtained for the energy above the most stable polymorph in this dataset is 1285 meV/atom. The symmetry is No. 63. The value obtained for the calculated formation energy is 2.06 eV/atom.

Material: Li4SmPu3O12
Method: DFT, GGA-PBE
State: relaxed

Structure (CIF):
```
data_Li4SmPu3O12
_space_group_name_H-M_alt 'P 1'
_space_group_IT_number 1
_space_group_name_Hall 'P 1'
_cell_length_a 6.906
_cell_length_b 6.906
_cell_length_c 6.906
_cell_angle_alpha 106.51
_cell_angle_beta 106.51
_cell_angle_gamma 106.51
loop_
_atom_site_label
_atom_site_fract_x
_atom_site_fract_y
_atom_site_fract_z
O1 0.669 0.766 0.029
O2 0.500 0.106 0.894
O3 0.234 0.331 0.971
O4 0.500 0.335 0.665
O5 0.665 0.500 0.335
O6 0.029 0.669 0.766
O7 0.971 0.234 0.331
O8 0.766 0.029 0.669
O9 0.106 0.894 0.500
O10 0.894 0.500 0.106
O11 0.335 0.665 0.500
O12 0.331 0.971 0.234
Pu1 0.557 0.443 0.000
Pu2 0.000 0.557 0.443
Pu3 0.443 0.000 0.557
Li1 0.500 0.500 0.500
Li2 0.064 0.500 0.936
Li3 0.936 0.064 0.500
Li4 0.500 0.936 0.064
Sm1 0.000 0.000 0.000
```

Output
The symmetry is No. 155. The formation energy without anion corrections is -236.92 kJ per mole of atoms.

Material: YHfN2F
Method: DFT, GGA-PBE
State: relaxed

Structure (CIF):
```
data_YHfN2F
_space_group_name_H-M_alt 'P 1'
_space_group_IT_number 1
_space_group_name_Hall 'P 1'
_cell_length_a 4.451
_cell_length_b 4.451
_cell_length_c 4.015
_cell_angle_alpha 90.00
_cell_angle_beta 90.00
_cell_angle_gamma 90.00
loop_
_atom_site_label
_atom_site_fract_x
_atom_site_fract_y
_atom_site_fract_z
N1 0.500 0.000 0.000
N2 0.000 0.500 0.000
Y1 0.000 0.000 0.000
F1 0.000 0.000 0.500
Hf1 0.500 0.500 0.500
```

Output
The value obtained for the energy above the most stable polymorph in this dataset is 1222 meV/atom. The symmetry is No. 123. The formation energy without anion corrections is -44.90 kJ per mole of atoms.

no.,calculated total energy (eV/cell)
1,-92.76
2,-43.56
3,-163.98
4,-37.27